Material: RbZn2Hg2
Method: DFT, SCAN
State: single point on PBEsol structure

Results
**Theoretical density**: 8.11 g/cm3
**E**: -36.92 eV per atom

Cell lengths 4.8354, 4.8354, 10.8166 Å; angles 90.00, 90.00, 90.00 degrees
Closest atoms and distances in Å follow each position.
Positions (direct):
Rb  0.0000  0.0000  0.0000  8 Zn 3.63, 10 Hg 3.72-3.93
Rb  0.5000  0.5000  0.5000  8 Zn 3.63, 10 Hg 3.72-3.93
Zn  0.0000  0.5000  0.2500  4 Hg 2.71
Zn  0.0000  0.5000  0.7500  4 Hg 2.71
Zn  0.5000  0.0000  0.2500  4 Hg 2.71
Zn  0.5000  0.0000  0.7500  4 Hg 2.71
Hg  0.0000  0.0000  0.3635  4 Zn 2.71, 1 Hg 2.95
Hg  0.0000  0.0000  0.6365  4 Zn 2.71, 1 Hg 2.95
Hg  0.5000  0.5000  0.1365  4 Zn 2.71, 1 Hg 2.95
Hg  0.5000  0.5000  0.8635  4 Zn 2.71, 1 Hg 2.95